Entry 1:
VASP calculation (PBE-GGA) on crystalline LaNd2Au at its relaxed geometry.

Space group: No. 160
Energy relative to the lowest polymorph listed for this composition in kJ/mol of formula units: 60.2
Formation enthalpy at 0 K in meV/atom: -242.0
E_tot in hartree per atom: -0.1719
D(E_F) in states/eV/atom: 1.309

Structure (POSCAR):
```
LaNd2Au
1.0
3.892 0.000 0.000
1.946 3.370 0.000
1.946 1.123 10.188
Nd Au La
2 1 1
Cartesian
1.945 1.123 8.115 Nd
1.946 1.123 2.064 Nd
3.892 2.247 0.012 Au
3.891 2.247 5.091 La
```

=====

Entry 2:
VASP calculation (PBE-GGA) on crystalline La2NdAu at its relaxed geometry.

Space group: No. 166
Energy relative to the lowest polymorph listed for this composition in kJ/mol of formula units: 53.9
Formation enthalpy at 0 K in meV/atom: -275.2
E_tot in hartree per atom: -0.1746
D(E_F) in states/eV/atom: 1.167

Structure (POSCAR):
```
La2NdAu
1.0
3.864 0.000 0.000
1.932 3.347 0.000
1.932 1.116 10.346
Nd Au La
1 1 2
Cartesian
3.864 2.231 5.173 Nd
0.000 0.000 0.000 Au
5.797 3.347 8.163 La
1.932 1.116 2.183 La
```

=====

Entry 3:
VASP calculation (PBE-GGA) on crystalline LaNdAu3 at its relaxed geometry.

Space group: No. 63
Formation enthalpy at 0 K in meV/atom: -806.6
E_tot in hartree per atom: -0.1732
D(E_F) in states/eV/atom: 0.810

Structure (POSCAR):
```
LaNdAu3
1.0
3.767 0.000 -0.519
0.000 4.696 0.000
0.072 0.000 14.464
Au La Nd
6 2 2
Cartesian
1.981 3.522 0.451 Au
1.858 1.174 13.495 Au
2.599 1.174 4.935 Au
2.358 3.522 3.183 Au
1.241 3.522 9.011 Au
1.482 1.174 10.763 Au
0.283 1.174 2.054 La
3.557 3.522 11.892 La
3.037 1.174 8.120 Nd
0.802 3.522 5.825 Nd
```

=====

Entry 4:
VASP calculation (PBE-GGA) on crystalline La2NdAu at its relaxed geometry.

Space group: No. 160
Energy relative to the lowest polymorph listed for this composition in kJ/mol of formula units: 55.8
Formation enthalpy at 0 K in meV/atom: -270.4
E_tot in hartree per atom: -0.1744
D(E_F) in states/eV/atom: 1.188

Structure (POSCAR):
```
La2NdAu
1.0
-3.702 -0.640 1.148
-2.789 -0.716 -2.672
-0.245 -10.371 0.147
Nd Au La
1 1 2
Cartesian
-3.364 -5.883 -0.687 Nd
-4.574 -11.265 -0.870 Au
-0.648 -8.289 0.010 La
-1.763 -2.523 -0.371 La
```

=====

Entry 5:
VASP calculation (PBE-GGA) on crystalline La6NdAu3 at its relaxed geometry.

Space group: No. 36
Formation enthalpy at 0 K in meV/atom: -436.7
E_tot in hartree per atom: -0.1783
D(E_F) in states/eV/atom: 1.315

Structure (POSCAR):
```
La6NdAu3
1.0
-2.561 -5.817 -4.051
5.321 -5.851 5.038
-7.482 -0.620 5.620
La Nd Au
12 2 6
Cartesian
-7.314 -1.755 4.964 La
-3.711 -8.009 4.565 La
-0.005 -7.302 -0.993 La
-0.559 -3.254 2.756 La
3.078 -9.433 2.409 La
-1.326 -5.552 6.541 La
-3.898 -2.280 1.267 La
-5.731 -5.021 3.302 La
2.101 -4.790 5.030 La
-5.069 -5.786 7.043 La
-1.175 -10.809 4.782 La
-2.943 -5.711 0.780 La
-3.384 -2.554 5.276 Nd
-0.251 -7.266 3.050 Nd
-2.648 -8.614 1.745 Au
-3.969 -6.207 -2.018 Au
-5.395 -10.477 5.015 Au
-0.394 -4.236 -0.097 Au
-2.724 -5.152 3.833 Au
-1.820 -8.507 6.937 Au
```

=====

Entry 6:
VASP calculation (PBE-GGA) on crystalline LaNd2Au3 at its relaxed geometry.

Space group: No. 65
Energy relative to the lowest polymorph listed for this composition in kJ/mol of formula units: 0.0
Formation enthalpy at 0 K in meV/atom: -767.1
E_tot in hartree per atom: -0.1770
D(E_F) in states/eV/atom: 0.832

Structure (POSCAR):
```
LaNd2Au3
1.0
-0.604 -4.948 -1.828
7.302 -2.528 -3.280
2.039 -2.686 6.613
La Nd Au
2 4 6
Cartesian
4.470 -4.984 -3.406 La
2.229 -2.492 -1.701 La
3.264 -3.835 1.600 Nd
0.000 0.000 0.000 Nd
5.473 -6.327 -0.095 Nd
1.019 -1.343 3.307 Nd
3.415 -6.963 2.311 Au
5.323 -3.199 -0.806 Au
1.218 -4.477 4.016 Au
0.217 -3.157 0.770 Au
2.421 -5.655 -0.911 Au
6.316 -4.507 2.416 Au
```

=====

Entry 7:
VASP calculation (PBE-GGA) on crystalline La2NdAu at its relaxed geometry.

Space group: No. 62
Energy relative to the lowest polymorph listed for this composition in kJ/mol of formula units: 6.0
Formation enthalpy at 0 K in meV/atom: -399.4
E_tot in hartree per atom: -0.1791
D(E_F) in states/eV/atom: 1.055

Structure (POSCAR):
```
La2NdAu
1.0
-5.511 0.621 3.839
2.944 -4.513 4.956
4.362 8.254 4.926
Nd La Au
4 8 4
Cartesian
2.703 4.249 7.452 Nd
-3.586 2.506 4.631 Nd
5.381 1.857 9.089 Nd
-0.908 0.114 6.269 Nd
1.091 1.341 9.284 La
0.703 3.021 4.436 La
3.061 0.665 6.297 La
-1.267 3.697 7.424 La
0.456 6.958 9.369 La
1.339 -2.595 4.351 La
-1.019 -0.239 2.491 La
2.814 4.601 11.230 La
0.410 6.071 6.430 Au
1.385 -1.708 7.291 Au
-0.038 4.031 10.244 Au
1.833 0.332 3.476 Au
```

=====

Entry 8:
VASP calculation (PBE-GGA) on crystalline LaNd2Au2 at its relaxed geometry.

Space group: No. 127
Energy relative to the lowest polymorph listed for this composition in kJ/mol of formula units: 0.0
Formation enthalpy at 0 K in meV/atom: -628.4
E_tot in hartree per atom: -0.1776
D(E_F) in states/eV/atom: 1.132

Structure (POSCAR):
```
LaNd2Au2
1.0
3.946 0.000 0.000
0.000 8.476 0.000
0.000 0.000 8.476
La Au Nd
2 4 4
Cartesian
1.973 4.238 0.000 La
1.973 0.000 4.238 La
1.973 1.084 7.392 Au
1.973 5.322 5.322 Au
1.973 3.154 3.154 Au
1.973 7.392 1.084 Au
0.000 2.852 5.624 Nd
0.000 5.624 2.852 Nd
0.000 1.386 1.386 Nd
0.000 7.090 7.090 Nd
```

=====

Entry 9:
VASP calculation (PBE-GGA) on crystalline La5NdAu6 at its relaxed geometry.

Space group: No. 12
Formation enthalpy at 0 K in meV/atom: -776.5
E_tot in hartree per atom: -0.1788
D(E_F) in states/eV/atom: 0.871

Structure (POSCAR):
```
La5NdAu6
1.0
5.278 -0.340 0.869
-0.021 6.922 2.839
1.242 0.288 9.166
La Au Nd
5 6 1
Cartesian
2.152 5.742 5.728 La
2.170 2.295 4.277 La
4.347 1.127 7.144 La
4.329 4.574 8.595 La
-0.010 3.461 1.419 La
1.682 6.495 8.898 Au
1.692 2.980 7.456 Au
4.818 0.374 3.975 Au
2.634 1.505 1.121 Au
4.807 3.889 5.417 Au
3.865 5.364 11.751 Au
0.000 0.000 0.000 Nd
```

=====

Entry 10:
VASP calculation (PBE-GGA) on crystalline La3Nd2Au2 at its relaxed geometry.

Space group: No. 2
Formation enthalpy at 0 K in meV/atom: -460.0
E_tot in hartree per atom: -0.1790
D(E_F) in states/eV/atom: 1.034

Structure (POSCAR):
```
La3Nd2Au2
1.0
3.856 -0.002 -0.865
-2.380 6.128 -1.579
0.049 0.387 9.248
Au La Nd
2 3 2
Cartesian
-1.885 5.576 0.641 Au
3.411 0.937 6.164 Au
-1.175 4.980 3.768 La
2.700 1.534 3.037 La
1.928 -0.001 -0.432 La
0.139 3.142 0.615 Nd
1.387 3.371 6.190 Nd
```

=====

Entry 11:
VASP calculation (PBE-GGA) on crystalline LaNd2Au at its relaxed geometry.

Space group: No. 62
Energy relative to the lowest polymorph listed for this composition in kJ/mol of formula units: 0.0
Formation enthalpy at 0 K in meV/atom: -398.0
E_tot in hartree per atom: -0.1776
D(E_F) in states/eV/atom: 1.053

Structure (POSCAR):
```
LaNd2Au
1.0
6.804 0.000 0.000
0.000 7.242 0.000
0.000 0.000 10.395
Nd La Au
8 4 4
Cartesian
5.641 2.244 9.846 Nd
4.565 5.865 9.846 Nd
1.163 4.997 0.549 Nd
5.641 2.244 5.747 Nd
2.239 1.377 4.649 Nd
1.163 4.997 4.649 Nd
4.565 5.865 5.747 Nd
2.239 1.377 0.549 Nd
4.318 3.710 2.599 La
2.486 3.532 7.796 La
5.888 0.089 2.599 La
0.916 7.152 7.796 La
6.300 4.402 7.796 Au
3.906 0.781 7.796 Au
0.504 2.839 2.599 Au
2.898 6.460 2.599 Au
```

=====

Entry 12:
VASP calculation (PBE-GGA) on crystalline LaNd2Au at its relaxed geometry.

Space group: No. 166
Energy relative to the lowest polymorph listed for this composition in kJ/mol of formula units: 125.0
Formation enthalpy at 0 K in meV/atom: -74.1
E_tot in hartree per atom: -0.1657
D(E_F) in states/eV/atom: 1.571

Structure (POSCAR):
```
LaNd2Au
1.0
-0.347 1.893 -3.115
-3.309 1.102 -1.113
0.085 10.746 4.369
Nd Au La
2 1 1
Cartesian
-3.258 5.978 -2.460 Nd
-0.314 7.764 2.601 Nd
-1.786 6.871 0.071 Au
0.000 0.000 0.000 La
```